Density functional theory data (PBE) for a relaxed CeErCoRu crystal.

Summary:
SG = F-43m (216)
ΔH_f (0 K) = -1.05 eV per formula unit
uncorrected energy = -6.983 eV per atom

Cell and atoms, written as POSCAR:
```
CeErCoRu
1.0
-0.751 -0.145 4.726
1.437 -3.798 2.537
3.690 0.398 3.024
Er Ce Ru Co
1 1 1 1
direct
0.500 0.500 0.500 Er
0.000 0.000 0.000 Ce
0.750 0.750 0.750 Ru
0.250 0.250 0.250 Co
```

Density functional theory data (PBE) for a relaxed CeErCoRu crystal.

Summary:
SG = P4mm (99)
ΔH_f (0 K) = -1.15 eV per formula unit
uncorrected energy = -7.008 eV per atom

Cell and atoms, written as POSCAR:
```
CeErCoRu
1.0
-1.367 2.355 1.981
-1.328 -2.407 1.945
5.580 0.018 3.830
Ce Co Ru Er
1 1 1 1
direct
0.000 0.000 0.869 Ce
0.500 0.500 0.082 Co
0.500 0.500 0.620 Ru
0.000 0.000 0.357 Er
```

Density functional theory data (PBE) for a relaxed CeSm2ErCo2 crystal.

Summary:
SG = Ibam (72)
ΔH_f (0 K) = -0.70 eV per formula unit
uncorrected energy = -5.808 eV per atom

Cell and atoms, written as POSCAR:
```
CeSm2ErCo2
1.0
-2.861 -5.183 -3.072
3.145 1.674 -5.755
4.827 -1.957 6.048
Er Sm Co Ce
2 4 4 2
direct
0.250 0.000 0.000 Er
0.750 0.000 0.000 Er
0.199 0.487 0.399 Sm
0.699 0.912 0.399 Sm
0.801 0.513 0.601 Sm
0.301 0.088 0.601 Sm
0.594 0.378 0.188 Co
0.906 0.190 0.812 Co
0.406 0.622 0.812 Co
0.094 0.810 0.188 Co
0.250 0.500 0.000 Ce
0.750 0.500 0.000 Ce
```

Density functional theory data (PBE) for a relaxed Tb2CeErCo2 crystal.

Summary:
SG = Ibam (72)
ΔH_f (0 K) = -0.69 eV per formula unit
uncorrected energy = -5.776 eV per atom

Cell and atoms, written as POSCAR:
```
Tb2CeErCo2
1.0
-1.912 -4.395 4.539
0.539 -4.947 -4.564
6.782 3.771 1.708
Tb Ce Co Er
4 2 4 2
direct
0.800 0.498 0.599 Tb
0.200 0.502 0.401 Tb
0.700 0.899 0.401 Tb
0.300 0.101 0.599 Tb
0.750 0.500 0.000 Ce
0.250 0.500 0.000 Ce
0.597 0.384 0.194 Co
0.403 0.616 0.806 Co
0.097 0.810 0.194 Co
0.903 0.190 0.806 Co
0.750 0.000 0.000 Er
0.250 0.000 0.000 Er
```

Density functional theory data (PBE) for a relaxed CeErCoTc crystal.

Summary:
SG = F-43m (216)
ΔH_f (0 K) = -0.29 eV per formula unit
uncorrected energy = -7.065 eV per atom

Cell and atoms, written as POSCAR:
```
CeErCoTc
1.0
-4.409 -1.648 0.839
-1.275 -4.327 -1.583
-0.665 -3.579 3.100
Er Tc Co Ce
1 1 1 1
direct
0.000 0.000 0.000 Er
0.250 0.250 0.250 Tc
0.750 0.750 0.750 Co
0.500 0.500 0.500 Ce
```

Density functional theory data (PBE) for a relaxed CeEr2ThCo2 crystal.

Summary:
SG = Ibam (72)
ΔH_f (0 K) = -0.72 eV per formula unit
uncorrected energy = -6.236 eV per atom

Cell and atoms, written as POSCAR:
```
CeEr2ThCo2
1.0
6.927 0.000 0.000
0.000 7.012 0.000
-3.463 -3.506 5.999
Co Er Th Ce
4 4 2 2
direct
0.921 0.193 0.842 Co
0.421 0.649 0.842 Co
0.079 0.807 0.158 Co
0.579 0.351 0.158 Co
0.705 0.897 0.410 Er
0.795 0.487 0.590 Er
0.205 0.513 0.410 Er
0.295 0.103 0.590 Er
0.250 0.000 0.000 Th
0.750 0.000 0.000 Th
0.750 0.500 0.000 Ce
0.250 0.500 0.000 Ce
```

Density functional theory data (PBE) for a relaxed Ce3EuCo crystal.

Summary:
SG = Pm-3m (221)
ΔH_f (0 K) = 0.47 eV per formula unit
uncorrected energy = -6.942 eV per atom

Cell and atoms, written as POSCAR:
```
Ce3EuCo
1.0
5.318 0.000 0.000
0.000 5.318 0.000
0.000 0.000 5.318
Ce Co Eu
3 1 1
direct
0.500 0.000 0.000 Ce
0.000 0.000 0.500 Ce
0.000 0.500 0.000 Ce
0.000 0.000 0.000 Co
0.500 0.500 0.500 Eu
```

Density functional theory data (PBE) for a relaxed CeEuCo2 crystal.

Summary:
SG = P4/mmm (123)
ΔH_f (0 K) = 0.00 eV per formula unit
uncorrected energy = -7.605 eV per atom

Cell and atoms, written as POSCAR:
```
CeEuCo2
1.0
3.373 0.000 0.000
0.000 3.373 0.000
0.000 0.000 6.942
Co Eu Ce
2 1 1
direct
0.000 0.000 0.800 Co
0.000 0.000 0.200 Co
0.500 0.500 0.500 Eu
0.500 0.500 0.000 Ce
```

Density functional theory data (PBE) for a relaxed CeEuCo crystal.

Summary:
SG = P3m1 (156)
ΔH_f (0 K) = 0.13 eV per formula unit
uncorrected energy = -7.727 eV per atom

Cell and atoms, written as POSCAR:
```
CeEuCo
1.0
-2.481 1.875 -2.741
1.892 -3.549 -1.005
-4.164 -2.754 1.886
Co Eu Ce
1 1 1
direct
0.333 0.667 0.506 Co
0.000 0.000 0.997 Eu
0.667 0.333 0.496 Ce
```

Density functional theory data (PBE) for a relaxed CeEuCo crystal.

Summary:
SG = I4mm (107)
ΔH_f (0 K) = 0.07 eV per formula unit
uncorrected energy = -7.748 eV per atom

Cell and atoms, written as POSCAR:
```
CeEuCo
1.0
-0.265 1.554 -3.057
-2.464 -2.219 -0.915
-3.010 4.219 4.340
Ce Eu Co
1 1 1
direct
0.715 0.715 0.430 Ce
0.974 0.974 0.948 Eu
0.311 0.311 0.621 Co
```

Density functional theory data (PBE) for a relaxed CeEuCo2 crystal.

Summary:
SG = R-3m (166)
ΔH_f (0 K) = -0.17 eV per formula unit
uncorrected energy = -7.649 eV per atom

Cell and atoms, written as POSCAR:
```
CeEuCo2
1.0
4.265 0.000 0.000
2.132 3.694 0.000
2.132 1.231 5.407
Co Eu Ce
2 1 1
direct
0.301 0.301 0.097 Co
0.699 0.699 0.903 Co
0.500 0.500 0.500 Eu
0.000 0.000 0.000 Ce
```

Density functional theory data (PBE) for a relaxed Ce2EuCo crystal.

Summary:
SG = P4/mmm (123)
ΔH_f (0 K) = 0.13 eV per formula unit
uncorrected energy = -7.278 eV per atom

Cell and atoms, written as POSCAR:
```
Ce2EuCo
1.0
3.505 0.000 0.000
0.000 3.505 0.000
0.000 0.000 8.765
Eu Co Ce
1 1 2
direct
0.500 0.500 0.500 Eu
0.500 0.500 0.000 Co
0.000 0.000 0.164 Ce
0.000 0.000 0.836 Ce
```